Here is Ni4PIr after structural relaxation from the Alexandria database. Energies are from PBE.

Unit cell a=6.6152 b=6.6152 c=6.6152 alpha=90.00 beta=90.00 gamma=90.00
Space group F-43m (No. 216)
Symmetry-distinct sites (fractional):
Ni 0.1254 0.1254 0.1254 [16 per cell]
P 0.2500 0.2500 0.7500 [4 per cell]
Ir 0.0000 0.0000 0.5000 [4 per cell]

Summary:
The value obtained for the spin magnetization is 1.9 μB/f.u. As for the total DFT energy (no corrections): -5.93 eV/atom.